(1)
First-principles (PBE-GGA) data for an optimized crystal structure of Pm3Cd2Pd4, as listed in Alexandria.

Cell lengths 5.4833, 5.4833, 9.1757 Å; angles 92.42, 92.42, 48.31 degrees
Fractional coordinates of all 9 atoms:
Pm 0.0000 0.0000 0.0000
Pm 0.3709 0.3709 0.6150
Pm 0.6291 0.6291 0.3850
Cd 0.3262 0.3262 0.2194
Cd 0.6738 0.6738 0.7806
Pd 0.0779 0.0779 0.6265
Pd 0.2918 0.2918 0.9146
Pd 0.7082 0.7082 0.0854
Pd 0.9221 0.9221 0.3735

Summary:
As for the space-group type: C2/m (12). The value obtained for the magnetization is 0.0 μB/cell. The value obtained for the energy above the most stable polymorph in this dataset is 0.0000 eV/atom. For the formation energy, the calculation gives -0.67 eV per atom. Its calculated total energy is -4.765 eV/atom.

***

(2)
First-principles (PBE-GGA) data for an optimized crystal structure of Pm3Cd9Pd2, as listed in Alexandria.

Cell lengths 8.6083, 8.6083, 8.6083 Å; angles 147.02, 105.49, 83.92 degrees
Fractional coordinates of all 14 atoms:
Pm 0.0000 0.0000 0.0000
Pm 0.2994 0.2994 0.0000
Pm 0.7006 0.7006 0.0000
Cd 0.0050 0.6407 0.3644
Cd 0.1446 0.8654 0.2792
Cd 0.2763 0.6407 0.6356
Cd 0.4138 0.1346 0.2792
Cd 0.5000 0.0000 0.5000
Cd 0.5862 0.8654 0.7208
Cd 0.7237 0.3593 0.3644
Cd 0.8554 0.1346 0.7208
Cd 0.9950 0.3593 0.6356
Pd 0.3491 0.5000 0.8491
Pd 0.6509 0.5000 0.1509

Summary:
As for the space-group type: Immm (71). The value obtained for the magnetization is 0.0 μB/cell. For the formation energy, the calculation gives -0.35 eV per atom. Its calculated total energy is -2.702 eV/atom.

***

(3)
First-principles (PBE-GGA) data for an optimized crystal structure of PmCd3Pd, as listed in Alexandria.

Cell lengths 10.0863, 10.0863, 10.0863 Å; angles 148.41, 148.41, 45.29 degrees
Fractional coordinates of all 10 atoms:
Pm 0.1970 0.1970 0.0000
Pm 0.8030 0.8030 0.0000
Cd 0.3762 0.6233 0.7529
Cd 0.3767 0.1296 0.7529
Cd 0.3767 0.6238 0.2471
Cd 0.5436 0.0436 0.5000
Cd 0.8704 0.6233 0.2471
Cd 0.9564 0.4564 0.5000
Pd 0.2500 0.7500 0.5000
Pd 0.5000 0.5000 0.0000

Summary:
As for the space-group type: I-4m2 (119). The value obtained for the magnetization is 0.0 μB/cell. The value obtained for the energy above the most stable polymorph in this dataset is 0.3046 eV/atom. For the formation energy, the calculation gives -0.13 eV per atom. Its calculated total energy is -2.666 eV/atom.

***

(4)
First-principles (PBE-GGA) data for an optimized crystal structure of PmCd3Pd2, as listed in Alexandria.

Cell lengths 8.4333, 8.4333, 8.1018 Å; angles 111.96, 111.96, 29.87 degrees
Fractional coordinates of all 12 atoms:
Pm 0.1189 0.1189 0.1512
Pm 0.8811 0.8811 0.8488
Cd 0.0562 0.0562 0.6818
Cd 0.3151 0.3151 0.1043
Cd 0.3444 0.3444 0.5095
Cd 0.6556 0.6556 0.4905
Cd 0.6849 0.6849 0.8957
Cd 0.9438 0.9438 0.3182
Pd 0.2376 0.2376 0.7236
Pd 0.4960 0.4960 0.1643
Pd 0.5040 0.5040 0.8357
Pd 0.7624 0.7624 0.2764

Summary:
As for the space-group type: C2/m (12). The value obtained for the magnetization is 0.0 μB/cell. The value obtained for the energy above the most stable polymorph in this dataset is 0.0353 eV/atom. For the formation energy, the calculation gives -0.44 eV per atom. Its calculated total energy is -3.420 eV/atom.

***

(5)
First-principles (PBE-GGA) data for an optimized crystal structure of Pm6CdPd5, as listed in Alexandria.

Cell lengths 6.9982, 6.9982, 7.3366 Å; angles 98.28, 98.28, 113.76 degrees
Fractional coordinates of all 12 atoms:
Pm 0.0399 0.3980 0.7204
Pm 0.2021 0.2021 0.2215
Pm 0.3980 0.0399 0.7204
Pm 0.6020 0.9601 0.2796
Pm 0.7979 0.7979 0.7785
Pm 0.9601 0.6020 0.2796
Cd 0.5000 0.5000 0.0000
Pd 0.0000 0.0000 0.5000
Pd 0.1923 0.8077 0.0000
Pd 0.3698 0.6302 0.5000
Pd 0.6302 0.3698 0.5000
Pd 0.8077 0.1923 0.0000

Summary:
As for the space-group type: C2/m (12). The value obtained for the magnetization is 0.0 μB/cell. For the formation energy, the calculation gives -0.58 eV per atom. Its calculated total energy is -5.195 eV/atom.

***

(6)
First-principles (PBE-GGA) data for an optimized crystal structure of PmCd2Pd, as listed in Alexandria.

Cell lengths 5.0006, 5.0006, 5.0006 Å; angles 60.00, 60.00, 60.00 degrees
Fractional coordinates of all 4 atoms:
Pm 0.0000 0.0000 0.0000
Cd 0.2500 0.2500 0.2500
Cd 0.7500 0.7500 0.7500
Pd 0.5000 0.5000 0.5000

Summary:
As for the space-group type: Fm-3m (225). The value obtained for the magnetization is 0.0 μB/cell. The value obtained for the energy above the most stable polymorph in this dataset is 0.1948 eV/atom. For the formation energy, the calculation gives -0.36 eV per atom. Its calculated total energy is -3.300 eV/atom.